# 1
Compound: PmGa3H12
Source: Alexandria
Functional: PBE
Structure: optimized geometry

Structure (POSCAR):
```
PmGa3H12
1.0
8.805 0.000 0.000
-4.402 7.625 0.000
0.000 0.000 5.798
Pm Ga H
2 6 24
Direct
0.333 0.667 0.250 Pm
0.667 0.333 0.750 Pm
0.088 0.717 0.750 Ga
0.283 0.372 0.750 Ga
0.372 0.088 0.250 Ga
0.628 0.912 0.750 Ga
0.717 0.628 0.250 Ga
0.912 0.283 0.250 Ga
0.004 0.835 0.750 H
0.041 0.495 0.250 H
0.165 0.170 0.750 H
0.170 0.004 0.250 H
0.215 0.751 0.530 H
0.215 0.751 0.970 H
0.249 0.464 0.530 H
0.249 0.464 0.970 H
0.454 0.959 0.250 H
0.464 0.215 0.030 H
0.464 0.215 0.470 H
0.495 0.454 0.750 H
0.505 0.546 0.250 H
0.536 0.785 0.530 H
0.536 0.785 0.970 H
0.546 0.041 0.750 H
0.751 0.536 0.030 H
0.751 0.536 0.470 H
0.785 0.249 0.030 H
0.785 0.249 0.470 H
0.830 0.996 0.750 H
0.835 0.830 0.250 H
0.959 0.505 0.750 H
0.996 0.165 0.250 H
```

Output
As for the space group: P6_3/m. For the volume, the calculation gives 12.16 A^3/atom. Its theoretical density is 3.1 g/cm3. Its total energy is -3.4439 eV per atom. Its crystal system is hexagonal.

---

# 2
Compound: Ho3Mn2Co7
Source: Alexandria
Functional: PBE
Structure: optimized geometry

Structure (POSCAR):
```
Ho3Mn2Co7
1.0
2.542 1.468 7.812
-2.542 1.468 7.812
0.000 -2.935 7.812
Ho Mn Co
3 2 7
Direct
0.000 0.000 0.000 Ho
0.140 0.140 0.140 Ho
0.860 0.860 0.860 Ho
0.334 0.334 0.334 Mn
0.666 0.666 0.666 Mn
0.081 0.583 0.583 Co
0.417 0.417 0.919 Co
0.417 0.919 0.417 Co
0.500 0.500 0.500 Co
0.583 0.081 0.583 Co
0.583 0.583 0.081 Co
0.919 0.417 0.417 Co
```

Output
As for the space group: R-3m. For the volume, the calculation gives 14.57 A^3/atom. Its theoretical density is 9.7 g/cm3. The energy of formation from the pure elements is -0.169 eV per atom. Its crystal system is trigonal.

---

# 3
Compound: In4Hg2Bi3
Source: Alexandria
Functional: PBE
Structure: optimized geometry

Structure (POSCAR):
```
In4Hg2Bi3
1.0
14.760 -3.215 0.000
14.760 3.215 0.000
-0.614 0.000 5.506
In Hg Bi
8 4 6
Direct
0.096 0.794 0.731 In
0.150 0.414 0.235 In
0.206 0.904 0.769 In
0.414 0.150 0.735 In
0.586 0.850 0.265 In
0.794 0.096 0.231 In
0.850 0.586 0.765 In
0.904 0.206 0.269 In
0.261 0.518 0.250 Hg
0.482 0.739 0.250 Hg
0.518 0.261 0.750 Hg
0.739 0.482 0.750 Hg
0.028 0.306 0.253 Bi
0.306 0.028 0.753 Bi
0.323 0.677 0.250 Bi
0.677 0.323 0.750 Bi
0.694 0.972 0.247 Bi
0.972 0.694 0.747 Bi
```

Output
As for the space group: C2/c. For the volume, the calculation gives 29.04 A^3/atom. Its theoretical density is 9.5 g/cm3. The energy of formation from the pure elements is 0.027 eV per atom. Its crystal system is monoclinic.

---

# 4
Compound: Nd2Dy6YTm3
Source: Alexandria
Functional: PBE
Structure: optimized geometry

Structure (POSCAR):
```
Nd2Dy6YTm3
1.0
3.080 -5.329 0.000
3.080 5.329 0.000
-2.044 0.000 11.600
Nd Dy Y Tm
2 6 1 3
Direct
0.167 0.833 0.000 Nd
0.833 0.167 0.000 Nd
0.081 0.414 0.746 Dy
0.253 0.253 0.255 Dy
0.414 0.081 0.746 Dy
0.586 0.919 0.254 Dy
0.747 0.747 0.745 Dy
0.919 0.586 0.254 Dy
0.500 0.500 0.000 Y
0.000 0.000 0.500 Tm
0.334 0.666 0.500 Tm
0.666 0.334 0.500 Tm
```

Output
As for the space group: C2/m. For the volume, the calculation gives 31.73 A^3/atom. Its theoretical density is 8.1 g/cm3. The energy of formation from the pure elements is 0.021 eV per atom. Its crystal system is monoclinic.